Here is a geometry-optimized Na2LiPt structure from the Alexandria database. Energies are from PBE-GGA.

Cell: 11.237 11.237 11.237 Å, 14.85 14.85 14.85°
Sites, in units of the cell vectors:
Na 0.081 0.081 0.081
Na 0.919 0.919 0.919
Li 0.500 0.500 0.500
Pt 0.000 0.000 0.000

## Properties
- formation energy from the elements (eV per atom) = 0.16
- symmetry = R-3m, No. 166


Here is a geometry-optimized Pm7Y4Mg structure from the Alexandria database. Energies are from PBE-GGA.

Cell: 6.439 6.439 13.218 Å, 110.56 110.56 53.76°
Sites, in units of the cell vectors:
Pm 0.000 0.000 0.000
Pm 0.211 0.211 0.912
Pm 0.341 0.341 0.466
Pm 0.350 0.350 0.731
Pm 0.650 0.650 0.269
Pm 0.659 0.659 0.534
Pm 0.789 0.789 0.088
Y 0.003 0.003 0.635
Y 0.318 0.318 0.204
Y 0.682 0.682 0.796
Y 0.997 0.997 0.365
Mg 0.500 0.500 0.000

## Properties
- formation energy from the elements (eV per atom) = 0.23
- symmetry = C2/m, No. 12


Here is a geometry-optimized MgInCoN structure from the Alexandria database. Energies are from PBE-GGA.

Cell: 6.061 6.061 6.061 Å, 149.96 149.96 43.00°
Sites, in units of the cell vectors:
Mg 0.000 0.000 0.000
In 0.286 0.286 0.000
Co 0.653 0.653 0.000
N 0.487 0.487 0.000

## Properties
- E (Ry/atom) = -0.3706
- symmetry = I4mm, No. 107


Here is a geometry-optimized AlBiSe2N structure from the Alexandria database. Energies are from PBE-GGA.

Cell: 5.546 5.546 4.371 Å, 90.00 90.00 90.00°
Sites, in units of the cell vectors:
Al 0.000 0.000 0.000
Bi 0.500 0.500 0.500
Se 0.000 0.500 0.500
Se 0.500 0.000 0.500
N 0.500 0.500 0.000

## Properties
- E (Ry/atom) = -0.2656
- symmetry = P4/mmm, No. 123


Here is a geometry-optimized Dy5Tl4Pd structure from the Alexandria database. Energies are from PBE-GGA.

Cell: 3.573 3.573 20.437 Å, 90.00 90.00 90.00°
Sites, in units of the cell vectors:
Dy 0.000 0.000 0.000
Dy 0.000 0.000 0.208
Dy 0.000 0.000 0.417
Dy 0.000 0.000 0.583
Dy 0.000 0.000 0.792
Tl 0.500 0.500 0.104
Tl 0.500 0.500 0.311
Tl 0.500 0.500 0.689
Tl 0.500 0.500 0.896
Pd 0.500 0.500 0.500

## Properties
- formation energy from the elements (eV per atom) = -0.46
- symmetry = P4/mmm, No. 123


Here is a geometry-optimized MgInHg5Pb2 structure from the Alexandria database. Energies are from PBE-GGA.

Cell: 10.017 10.017 13.494 Å, 90.00 90.00 159.15°
Sites, in units of the cell vectors:
Mg 0.227 0.773 0.500
Mg 0.773 0.227 0.000
In 0.036 0.964 0.859
In 0.964 0.036 0.359
Hg 0.030 0.970 0.150
Hg 0.082 0.918 0.499
Hg 0.214 0.786 0.153
Hg 0.215 0.785 0.848
Hg 0.382 0.618 0.507
Hg 0.618 0.382 0.007
Hg 0.785 0.215 0.348
Hg 0.786 0.214 0.653
Hg 0.918 0.082 0.999
Hg 0.970 0.030 0.650
Pb 0.375 0.625 0.193
Pb 0.377 0.623 0.803
Pb 0.623 0.377 0.303
Pb 0.625 0.375 0.693

## Properties
- formation energy from the elements (eV per atom) = 0.00
- symmetry = Cmc2_1, No. 36